Record 1
First-principles (PBE) data for LiCePrCo after structural relaxation, as listed in Alexandria via LeMat-Bulk.

Values from the calculation:
Total moment   0.60 μB per cell
Density   6.56 g cm⁻³
Energy of formation from the pure elements   0.446 eV per formula unit

Cell: 4.9894 4.9894 4.9894 Å, 60.00 60.00 60.00°
With the nearest neighbours (Å) after each atom.
Sites, in units of the cell vectors:
Li  0.0000  0.0000  0.0000  4 Pr 3.06, 4 Ce 3.06
Ce  0.2500  0.2500  0.2500  4 Co 3.06, 4 Li 3.06
Pr  0.7500  0.7500  0.7500  4 Co 3.06, 4 Li 3.06
Co  0.5000  0.5000  0.5000  4 Ce 3.06, 4 Pr 3.06



Record 2
First-principles (PBE) data for LiCeCoRh after structural relaxation, as listed in Alexandria via LeMat-Bulk.

Values from the calculation:
Total moment   0.00 μB per cell
Density   7.91 g cm⁻³
Energy of formation from the pure elements   -0.849 eV per formula unit

Cell: 4.5088 4.5088 4.5088 Å, 60.00 60.00 60.00°
With the nearest neighbours (Å) after each atom.
Sites, in units of the cell vectors:
Li  0.0000  0.0000  0.0000  4 Co 2.76, 4 Rh 2.76
Ce  0.5000  0.5000  0.5000  4 Co 2.76, 4 Rh 2.76
Co  0.2500  0.2500  0.2500  4 Ce 2.76, 4 Li 2.76
Rh  0.7500  0.7500  0.7500  4 Ce 2.76, 4 Li 2.76



Record 3
First-principles (PBE) data for LiCeCoRu after structural relaxation, as listed in Alexandria via LeMat-Bulk.

Values from the calculation:
Total moment   0.00 μB per cell
Density   8.26 g cm⁻³
Energy of formation from the pure elements   -0.120 eV per formula unit

Cell: 4.4369 4.4369 4.4369 Å, 60.00 60.00 60.00°
With the nearest neighbours (Å) after each atom.
Sites, in units of the cell vectors:
Li  0.0000  0.0000  0.0000  4 Co 2.72, 4 Ru 2.72
Ce  0.5000  0.5000  0.5000  4 Co 2.72, 4 Ru 2.72
Co  0.2500  0.2500  0.2500  4 Ce 2.72, 4 Li 2.72
Ru  0.7500  0.7500  0.7500  4 Ce 2.72, 4 Li 2.72



Record 4
First-principles (PBE) data for Li3Ce2CoS6 after structural relaxation, as listed in Alexandria via LeMat-Bulk.

Values from the calculation:
Total moment   1.85 μB per cell
Density   3.95 g cm⁻³
DFT total energy   -65.67 eV per formula unit

Cell: 6.5820 6.5820 6.5512 Å, 99.52 99.52 120.00°
With the nearest neighbours (Å) after each atom.
Sites, in units of the cell vectors:
Li  0.0000  0.0000  0.0000  6 S 2.64-2.81
Li  0.3392  0.6608  0.0000  6 S 2.61-2.85
Li  0.6608  0.3392  0.0000  6 S 2.61-2.85
Ce  0.1675  0.8325  0.5000  6 S 2.73-2.74
Ce  0.8325  0.1675  0.5000  6 S 2.73-2.74
Co  0.5000  0.5000  0.5000  6 S 2.55-2.57
S  0.1045  0.4171  0.2504  1 Co 2.57, 3 Li 2.62-2.85, 2 Ce 2.74
S  0.2689  0.2689  0.7445  1 Co 2.55, 3 Li 2.61-2.81, 2 Ce 2.73
S  0.4171  0.1045  0.2504  1 Co 2.57, 3 Li 2.62-2.85, 2 Ce 2.74
S  0.5829  0.8955  0.7496  1 Co 2.57, 3 Li 2.62-2.85, 2 Ce 2.74
S  0.7311  0.7311  0.2555  1 Co 2.55, 3 Li 2.61-2.81, 2 Ce 2.73
S  0.8955  0.5829  0.7496  1 Co 2.57, 3 Li 2.62-2.85, 2 Ce 2.74



Record 5
First-principles (PBE) data for LiCeCoSb after structural relaxation, as listed in Alexandria via LeMat-Bulk.

Values from the calculation:
Total moment   0.90 μB per cell
Density   7.61 g cm⁻³
DFT total energy   -20.90 eV per formula unit

Cell: 4.6593 4.6593 4.6593 Å, 60.00 60.00 60.00°
With the nearest neighbours (Å) after each atom.
Sites, in units of the cell vectors:
Li  0.0000  0.0000  0.0000  4 Ce 2.85, 4 Sb 2.85
Ce  0.2500  0.2500  0.2500  4 Co 2.85, 4 Li 2.85
Co  0.5000  0.5000  0.5000  4 Sb 2.85, 4 Ce 2.85
Sb  0.7500  0.7500  0.7500  4 Co 2.85, 4 Li 2.85



Record 6
First-principles (PBE) data for Li3Ce3CoSe8 after structural relaxation, as listed in Alexandria via LeMat-Bulk.

Values from the calculation:
Total moment   2.04 μB per cell
Density   5.11 g cm⁻³
DFT total energy   -77.81 eV per formula unit

Cell: 7.9631 7.9631 7.9631 Å, 61.32 61.32 61.32°
With the nearest neighbours (Å) after each atom.
Sites, in units of the cell vectors:
Li  0.0000  0.5000  0.5000  6 Se 2.79-2.80
Li  0.5000  0.0000  0.5000  6 Se 2.79-2.80
Li  0.5000  0.5000  0.0000  6 Se 2.79-2.80
Ce  0.0000  0.0000  0.5000  6 Se 2.90-2.92
Ce  0.0000  0.5000  0.0000  6 Se 2.90-2.92
Ce  0.5000  0.0000  0.0000  6 Se 2.90-2.92
Co  0.5000  0.5000  0.5000  6 Se 2.53
Se  0.2547  0.2547  0.2547  3 Li 2.79, 3 Ce 2.90
Se  0.2772  0.2772  0.7129  1 Co 2.53, 2 Li 2.80
Se  0.2772  0.7129  0.2772  1 Co 2.53, 2 Li 2.80
Se  0.2871  0.7228  0.7228  1 Co 2.53, 2 Li 2.80
Se  0.7129  0.2772  0.2772  1 Co 2.53, 2 Li 2.80
Se  0.7228  0.2871  0.7228  1 Co 2.53, 2 Li 2.80
Se  0.7228  0.7228  0.2871  1 Co 2.53, 2 Li 2.80
Se  0.7453  0.7453  0.7453  3 Li 2.79, 3 Ce 2.90



Record 7
First-principles (PBE) data for LiCeSmCo after structural relaxation, as listed in Alexandria via LeMat-Bulk.

Values from the calculation:
Total moment   0.56 μB per cell
Density   6.96 g cm⁻³
Energy of formation from the pure elements   0.281 eV per formula unit

Cell: 4.9355 4.9355 4.9355 Å, 60.00 60.00 60.00°
With the nearest neighbours (Å) after each atom.
Sites, in units of the cell vectors:
Li  0.0000  0.0000  0.0000  4 Sm 3.02, 4 Ce 3.02
Ce  0.2500  0.2500  0.2500  4 Co 3.02, 4 Li 3.02
Sm  0.7500  0.7500  0.7500  4 Li 3.02, 4 Co 3.02
Co  0.5000  0.5000  0.5000  4 Ce 3.02, 4 Sm 3.02



Record 8
First-principles (PBE) data for LiCeCoSn after structural relaxation, as listed in Alexandria via LeMat-Bulk.

Values from the calculation:
Total moment   0.05 μB per cell
Density   7.52 g cm⁻³
Energy of formation from the pure elements   -1.574 eV per formula unit

Cell: 4.6621 4.6621 4.6621 Å, 60.00 60.00 60.00°
With the nearest neighbours (Å) after each atom.
Sites, in units of the cell vectors:
Li  0.0000  0.0000  0.0000  4 Ce 2.85, 4 Sn 2.85
Ce  0.2500  0.2500  0.2500  4 Co 2.85, 4 Li 2.85
Co  0.5000  0.5000  0.5000  4 Sn 2.85, 4 Ce 2.85
Sn  0.7500  0.7500  0.7500  4 Li 2.85, 4 Co 2.85



Record 9
First-principles (PBE) data for LiTbCeCo after structural relaxation, as listed in Alexandria via LeMat-Bulk.

Values from the calculation:
Total moment   0.53 μB per cell
Density   7.31 g cm⁻³
Energy of formation from the pure elements   0.132 eV per formula unit

Cell: 4.8941 4.8941 4.8941 Å, 60.00 60.00 60.00°
With the nearest neighbours (Å) after each atom.
Sites, in units of the cell vectors:
Li  0.0000  0.0000  0.0000  4 Ce 3.00, 4 Tb 3.00
Tb  0.2500  0.2500  0.2500  4 Co 3.00, 4 Li 3.00
Ce  0.7500  0.7500  0.7500  4 Co 3.00, 4 Li 3.00
Co  0.5000  0.5000  0.5000  4 Tb 3.00, 4 Ce 3.00



Record 10
First-principles (PBE) data for LiCeTmCo after structural relaxation, as listed in Alexandria via LeMat-Bulk.

Values from the calculation:
Total moment   0.51 μB per cell
Density   7.73 g cm⁻³
Energy of formation from the pure elements   -0.019 eV per formula unit

Cell: 4.8477 4.8477 4.8477 Å, 60.00 60.00 60.00°
With the nearest neighbours (Å) after each atom.
Sites, in units of the cell vectors:
Li  0.0000  0.0000  0.0000  4 Tm 2.97, 4 Ce 2.97
Ce  0.2500  0.2500  0.2500  4 Co 2.97, 4 Li 2.97
Tm  0.7500  0.7500  0.7500  4 Co 2.97, 4 Li 2.97
Co  0.5000  0.5000  0.5000  4 Tm 2.97, 4 Ce 2.97



Record 11
First-principles (PBE) data for LiCeYCo after structural relaxation, as listed in Alexandria via LeMat-Bulk.

Values from the calculation:
Total moment   0.54 μB per cell
Density   5.90 g cm⁻³
Energy of formation from the pure elements   0.130 eV per formula unit

Cell: 4.8965 4.8965 4.8965 Å, 60.00 60.00 60.00°
With the nearest neighbours (Å) after each atom.
Sites, in units of the cell vectors:
Li  0.0000  0.0000  0.0000  4 Y 3.00, 4 Ce 3.00
Ce  0.2500  0.2500  0.2500  4 Co 3.00, 4 Li 3.00
Y  0.7500  0.7500  0.7500  4 Co 3.00, 4 Li 3.00
Co  0.5000  0.5000  0.5000  4 Y 3.00, 4 Ce 3.00



Record 12
First-principles (PBE) data for CeLu2Co after structural relaxation, as listed in Alexandria via LeMat-Bulk.

Values from the calculation:
Total moment   1.65 μB per cell
Density   9.62 g cm⁻³
Energy of formation from the pure elements   -0.390 eV per formula unit

Cell: 3.3006 3.3006 8.6960 Å, 90.00 90.00 90.00°
With the nearest neighbours (Å) after each atom.
Sites, in units of the cell vectors:
Ce  0.0000  0.0000  0.0000  4 Ce 3.30, 8 Lu 3.62
Lu  0.5000  0.5000  0.3187  4 Co 2.82, 1 Lu 3.15
Lu  0.5000  0.5000  0.6813  4 Co 2.82, 1 Lu 3.15
Co  0.0000  0.0000  0.5000  8 Lu 2.82



Record 13
First-principles (PBE) data for CeLuCo after structural relaxation, as listed in Alexandria via LeMat-Bulk.

Values from the calculation:
Total moment   0.34 μB per cell
Density   8.78 g cm⁻³
Energy of formation from the pure elements   -0.103 eV per formula unit
Energy above the most stable polymorph in this dataset   65 meV per atom

Cell: 4.6421 4.6421 4.6421 Å, 60.00 60.00 60.00°
With the nearest neighbours (Å) after each atom.
Sites, in units of the cell vectors:
Ce  0.0000  0.0000  0.0000  4 Co 2.84
Lu  0.5000  0.5000  0.5000  4 Co 2.84
Co  0.7500  0.7500  0.7500  4 Ce 2.84, 4 Lu 2.84



Record 14
First-principles (PBE) data for Ce2LuCo after structural relaxation, as listed in Alexandria via LeMat-Bulk.

Values from the calculation:
Total moment   0.00 μB per cell
Density   8.95 g cm⁻³
Energy of formation from the pure elements   0.027 eV per formula unit
Energy above the most stable polymorph in this dataset   14 meV per atom

Cell: 3.5473 3.5473 7.5817 Å, 90.00 90.00 90.00°
With the nearest neighbours (Å) after each atom.
Sites, in units of the cell vectors:
Ce  0.0000  0.0000  0.1870  1 Ce 2.84, 4 Co 2.88
Ce  0.0000  0.0000  0.8130  1 Ce 2.84, 4 Co 2.88
Lu  0.5000  0.5000  0.5000  8 Ce 3.45, 4 Lu 3.55, 2 Co 3.79
Co  0.5000  0.5000  0.0000  8 Ce 2.88